Material: UCu3S4
Method: DFT, PBE-GGA
State: optimized geometry

Space group: P-43m, No. 215
Formation energy from raw total energies in eV per formula unit: -2.98

Cell and atoms, written as CIF:
```
data_UCu3S4
_chemical_formula_sum 'U1 Cu3 S4'
_cell_length_a 5.758
_cell_length_b 5.758
_cell_length_c 5.758
_cell_angle_alpha 90.00
_cell_angle_beta 90.00
_cell_angle_gamma 90.00
_space_group_name_H-M_alt 'P 1'
_space_group_IT_number 1
_space_group_name_Hall 'P 1'
loop_
_atom_site_label
_atom_site_type_symbol
_atom_site_fract_x
_atom_site_fract_y
_atom_site_fract_z
U1 U 0.000 0.000 0.000
Cu1 Cu 0.000 0.000 0.500
Cu2 Cu 0.000 0.500 0.000
Cu3 Cu 0.500 0.000 0.000
S1 S 0.249 0.249 0.249
S2 S 0.249 0.751 0.751
S3 S 0.751 0.249 0.751
S4 S 0.751 0.751 0.249
```